[1]
# NaMn2Fe2

An optimized crystal structure of NaMn2Fe2 (GGA-PBE, Alexandria via LeMat-Bulk).

The structure in CIF format:
```
data_NaMn2Fe2
_space_group_name_H-M_alt 'P 4/m b m'
_space_group_IT_number 127
_space_group_name_Hall '-P 4 2ab'
_cell_length_a 7.304
_cell_length_b 7.304
_cell_length_c 2.498
_cell_angle_alpha 90.00
_cell_angle_beta 90.00
_cell_angle_gamma 90.00
loop_
_atom_site_label
_atom_site_fract_x
_atom_site_fract_y
_atom_site_fract_z
Na1 0.000 0.000 0.000
Mn1 0.164 0.336 0.500
Fe1 0.123 0.623 0.000
```



[2]
# NaMn3Fe | Alexandria via LeMat-Bulk | GGA-PBE | optimized geometry
# energy relative to the lowest polymorph listed for this composition = 1915 meV per atom
data_NaMn3Fe
_space_group_name_H-M_alt 'P m -3 m'
_space_group_IT_number 221
_space_group_name_Hall '-P 4 2 3'
_cell_length_a 4.119
_cell_length_b 4.119
_cell_length_c 4.119
_cell_angle_alpha 90.00
_cell_angle_beta 90.00
_cell_angle_gamma 90.00
loop_
_atom_site_label
_atom_site_fract_x
_atom_site_fract_y
_atom_site_fract_z
Na1 0.000 0.000 0.000
Mn1 0.000 0.000 0.500
Fe1 0.500 0.500 0.500



Across the entries above, DFT formation energy takes the values 0.42; 2.86 eV per atom, respectively.